A relaxed Sb2Pb2O7 crystal, computed with PBE.

Lattice parameters (Å, degrees): 6.7110 7.8631 5.7493 90.00 90.00 90.00
Space group Cmmm (No. 65)
Asymmetric unit:
1 Sb 0.0000 0.2284 0.0000
2 Pb 0.2353 0.5000 0.5000
3 O 0.0000 0.0000 0.2149
4 O 0.0000 0.5000 0.0000
5 O 0.2500 0.2500 0.2208

Computed properties:
**DFT total energy**: -5.686 eV per atom
**Total magnetic moment**: 0.0 μB per formula unit

A relaxed Al2InRe2 crystal, computed with PBE.

Lattice parameters (Å, degrees): 7.0368 7.0368 3.1958 90.00 90.00 90.00
Space group P4/mbm (No. 127)
Asymmetric unit:
1 Al 0.1291 0.3709 0.0000
2 In 0.0000 0.0000 0.0000
3 Re 0.1641 0.6641 0.5000

Computed properties:
**DFT total energy**: -6.761 eV per atom
**Calculated formation energy**: 262 meV/atom
**Total magnetic moment**: 0.0 μB per formula unit
**Energy above the lowest structure with this stoichiometry**: 35.2 kJ/mol of formula units

A relaxed Sr2LiCl crystal, computed with PBE.

Lattice parameters (Å, degrees): 6.0270 6.0642 4.2505 90.00 90.00 90.00
Space group Pmm2 (No. 25)
Asymmetric unit:
1 Sr 0.0000 0.0000 0.0000
2 Sr 0.5000 0.5000 0.0107
3 Li 0.0000 0.5000 0.5058
4 Cl 0.5000 0.0000 0.0051

Computed properties:
**DFT total energy**: -2.539 eV per atom
**Total magnetic moment**: 0.0 μB per formula unit
**Energy above the lowest structure with this stoichiometry**: 12.0 kJ/mol of formula units

A relaxed SrZnPb2 crystal, computed with PBE.

Lattice parameters (Å, degrees): 7.8727 7.8727 7.8727 90.00 90.00 90.00
Space group F-43m (No. 216)
Asymmetric unit:
1 Sr 0.0000 0.0000 0.0000
2 Zn 0.2500 0.2500 0.2500
3 Pb 0.0000 0.0000 0.5000
4 Pb 0.2500 0.2500 0.7500

Computed properties:
**DFT total energy**: -2.785 eV per atom
**Calculated formation energy**: -192 meV/atom
**Total magnetic moment**: 0.0 μB per formula unit

A relaxed Na3Ge5Pd2 crystal, computed with PBE.

Lattice parameters (Å, degrees): 11.2920 12.3166 6.1222 90.00 90.00 90.00
Space group Ibam (No. 72)
Asymmetric unit:
1 Na 0.0000 0.0000 0.2500
2 Na 0.2498 0.1198 0.0000
3 Ge 0.0000 0.2493 0.2500
4 Ge 0.0000 0.5000 0.2500
5 Ge 0.1394 0.3755 0.0000
6 Pd 0.1443 0.1569 0.5000

Computed properties:
**DFT total energy**: -3.924 eV per atom
**Calculated formation energy**: -181 meV/atom
**Total magnetic moment**: 0.0 μB per formula unit